Below is a geometry-optimized BeSnPd3 structure, with properties calculated at the PBE level.

- total magnetic moment (μB per formula unit) = 0.00
- formation energy from the elements (eV per formula unit) = -1.434

Lattice parameters (Å, degrees): 4.2934 4.2934 4.2934 90.00 90.00 90.00
With the nearest neighbours (Å) after each atom.
Element x y z (fractional)
Be 0.0000 0.0000 0.0000  6 Pd 2.15
Sn 0.5000 0.5000 0.5000  12 Pd 3.04
Pd 0.0000 0.0000 0.5000  2 Be 2.15
Pd 0.5000 0.0000 0.0000  2 Be 2.15
Pd 0.0000 0.5000 0.0000  2 Be 2.15